Compound: TiO
Source: the Alexandria database
Functional: PBE-GGA
Structure: relaxed

The structure in CIF format:
```
data_TiO
_cell_length_a 4.086
_cell_length_b 4.086
_cell_length_c 4.086
_cell_angle_alpha 90.00
_cell_angle_beta 90.00
_cell_angle_gamma 90.00
_symmetry_space_group_name_H-M 'P 1'
_symmetry_Int_Tables_number 1
loop_
_symmetry_equiv_pos_as_xyz
'x,y,z'
loop_
_atom_site_label
_atom_site_fract_x
_atom_site_fract_y
_atom_site_fract_z
_atom_site_occupancy
Ti1 0.500 0.500 0.000 1
Ti2 0.000 0.500 0.500 1
Ti3 0.500 0.000 0.500 1
O1 0.000 0.000 0.500 1
O2 0.000 0.500 0.000 1
O3 0.500 0.000 0.000 1
```

- Calculated density: 4.7 g/cm3
- Crystal system: cubic
- Raw total energy: -8.871 eV per atom

***

Compound: TiO2
Source: the Alexandria database
Functional: PBE-GGA
Structure: relaxed

The structure in CIF format:
```
data_TiO2
_cell_length_a 4.998
_cell_length_b 4.998
_cell_length_c 10.245
_cell_angle_alpha 90.00
_cell_angle_beta 90.00
_cell_angle_gamma 145.73
_symmetry_space_group_name_H-M 'P 1'
_symmetry_Int_Tables_number 1
loop_
_symmetry_equiv_pos_as_xyz
'x,y,z'
loop_
_atom_site_label
_atom_site_fract_x
_atom_site_fract_y
_atom_site_fract_z
_atom_site_occupancy
Ti1 0.867 0.133 0.084 1
Ti2 0.867 0.133 0.416 1
Ti3 0.133 0.867 0.584 1
Ti4 0.133 0.867 0.916 1
O1 0.500 0.500 0.000 1
O2 0.755 0.245 0.897 1
O3 0.245 0.755 0.103 1
O4 0.755 0.245 0.603 1
O5 0.935 0.065 0.250 1
O6 0.245 0.755 0.397 1
O7 0.065 0.935 0.750 1
O8 0.500 0.500 0.500 1
```

- Calculated density: 3.7 g/cm3
- Crystal system: orthorhombic
- Raw total energy: -8.825 eV per atom

***

Compound: TiO
Source: the Alexandria database
Functional: PBE-GGA
Structure: relaxed

The structure in CIF format:
```
data_TiO
_cell_length_a 5.029
_cell_length_b 5.029
_cell_length_c 2.874
_cell_angle_alpha 90.00
_cell_angle_beta 90.00
_cell_angle_gamma 120.00
_symmetry_space_group_name_H-M 'P 1'
_symmetry_Int_Tables_number 1
loop_
_symmetry_equiv_pos_as_xyz
'x,y,z'
loop_
_atom_site_label
_atom_site_fract_x
_atom_site_fract_y
_atom_site_fract_z
_atom_site_occupancy
O1 0.000 0.393 0.000 1
O2 0.393 0.000 0.000 1
O3 0.607 0.607 0.000 1
Ti1 0.000 0.000 0.000 1
Ti2 0.667 0.333 0.500 1
Ti3 0.333 0.667 0.500 1
```

- Calculated density: 5.1 g/cm3
- Crystal system: hexagonal
- Raw total energy: -8.985 eV per atom

***

Compound: TiO
Source: the Alexandria database
Functional: PBE-GGA
Structure: relaxed

The structure in CIF format:
```
data_TiO
_cell_length_a 3.011
_cell_length_b 3.011
_cell_length_c 6.095
_cell_angle_alpha 90.00
_cell_angle_beta 90.00
_cell_angle_gamma 120.00
_symmetry_space_group_name_H-M 'P 1'
_symmetry_Int_Tables_number 1
loop_
_symmetry_equiv_pos_as_xyz
'x,y,z'
loop_
_atom_site_label
_atom_site_fract_x
_atom_site_fract_y
_atom_site_fract_z
_atom_site_occupancy
Ti1 0.333 0.667 0.698 1
Ti2 0.667 0.333 0.198 1
O1 0.333 0.667 0.384 1
O2 0.667 0.333 0.884 1
```

- Calculated density: 4.4 g/cm3
- Crystal system: hexagonal
- Raw total energy: -8.662 eV per atom

***

Compound: Ti2O3
Source: the Alexandria database
Functional: PBE-GGA
Structure: relaxed

The structure in CIF format:
```
data_Ti2O3
_cell_length_a 4.384
_cell_length_b 4.384
_cell_length_c 7.456
_cell_angle_alpha 76.16
_cell_angle_beta 76.16
_cell_angle_gamma 87.44
_symmetry_space_group_name_H-M 'P 1'
_symmetry_Int_Tables_number 1
loop_
_symmetry_equiv_pos_as_xyz
'x,y,z'
loop_
_atom_site_label
_atom_site_fract_x
_atom_site_fract_y
_atom_site_fract_z
_atom_site_occupancy
O1 0.897 0.103 0.250 1
O2 0.319 0.398 0.421 1
O3 0.681 0.602 0.579 1
O4 0.398 0.319 0.921 1
O5 0.103 0.897 0.750 1
O6 0.602 0.681 0.079 1
Ti1 0.695 0.722 0.308 1
Ti2 0.722 0.695 0.808 1
Ti3 0.278 0.305 0.192 1
Ti4 0.305 0.278 0.692 1
```

- Calculated density: 3.5 g/cm3
- Crystal system: monoclinic
- Raw total energy: -8.636 eV per atom

***

Compound: TiO2
Source: the Alexandria database
Functional: PBE-GGA
Structure: relaxed

The structure in CIF format:
```
data_TiO2
_cell_length_a 5.909
_cell_length_b 5.909
_cell_length_c 5.909
_cell_angle_alpha 61.20
_cell_angle_beta 61.20
_cell_angle_gamma 61.20
_symmetry_space_group_name_H-M 'P 1'
_symmetry_Int_Tables_number 1
loop_
_symmetry_equiv_pos_as_xyz
'x,y,z'
loop_
_atom_site_label
_atom_site_fract_x
_atom_site_fract_y
_atom_site_fract_z
_atom_site_occupancy
O1 0.423 0.874 0.874 1
O2 0.365 0.365 0.871 1
O3 0.865 0.865 0.865 1
O4 0.874 0.423 0.874 1
O5 0.382 0.382 0.382 1
O6 0.365 0.871 0.365 1
O7 0.874 0.874 0.423 1
O8 0.871 0.365 0.365 1
Ti1 0.099 0.631 0.631 1
Ti2 0.631 0.631 0.099 1
Ti3 0.631 0.099 0.631 1
Ti4 0.243 0.243 0.243 1
```

- Calculated density: 3.5 g/cm3
- Crystal system: trigonal
- Raw total energy: -8.791 eV per atom

***

Compound: Ti11O18
Source: the Alexandria database
Functional: PBE-GGA
Structure: relaxed

The structure in CIF format:
```
data_Ti11O18
_cell_length_a 5.515
_cell_length_b 7.498
_cell_length_c 8.796
_cell_angle_alpha 113.05
_cell_angle_beta 105.45
_cell_angle_gamma 96.26
_symmetry_space_group_name_H-M 'P 1'
_symmetry_Int_Tables_number 1
loop_
_symmetry_equiv_pos_as_xyz
'x,y,z'
loop_
_atom_site_label
_atom_site_fract_x
_atom_site_fract_y
_atom_site_fract_z
_atom_site_occupancy
O1 0.629 0.374 0.566 1
O2 0.698 0.949 0.114 1
O3 0.091 0.332 0.134 1
O4 0.061 0.310 0.437 1
O5 0.938 0.684 0.560 1
O6 0.714 0.968 0.748 1
O7 0.601 0.364 0.217 1
O8 0.963 0.709 0.229 1
O9 0.593 0.365 0.891 1
O10 0.373 0.625 0.440 1
O11 0.942 0.689 0.876 1
O12 0.271 0.020 0.540 1
O13 0.731 0.980 0.457 1
O14 0.268 0.039 0.891 1
O15 0.395 0.651 0.791 1
O16 0.271 0.020 0.230 1
O17 0.044 0.290 0.773 1
O18 0.398 0.641 0.103 1
Ti1 0.643 0.688 0.671 1
Ti2 0.964 0.498 0.317 1
Ti3 0.314 0.338 0.005 1
Ti4 0.967 0.011 0.326 1
Ti5 0.638 0.180 0.684 1
Ti6 0.026 0.485 0.667 1
Ti7 0.695 0.654 0.998 1
Ti8 0.366 0.817 0.333 1
Ti9 0.024 0.982 0.663 1
Ti10 0.322 0.862 0.001 1
Ti11 0.366 0.321 0.337 1
```

- Calculated density: 4.3 g/cm3
- Crystal system: triclinic
- Raw total energy: -8.988 eV per atom

***

Compound: Ti3O
Source: the Alexandria database
Functional: PBE-GGA
Structure: relaxed

The structure in CIF format:
```
data_Ti3O
_cell_length_a 2.741
_cell_length_b 4.950
_cell_length_c 4.990
_cell_angle_alpha 119.73
_cell_angle_beta 105.94
_cell_angle_gamma 90.00
_symmetry_space_group_name_H-M 'P 1'
_symmetry_Int_Tables_number 1
loop_
_symmetry_equiv_pos_as_xyz
'x,y,z'
loop_
_atom_site_label
_atom_site_fract_x
_atom_site_fract_y
_atom_site_fract_z
_atom_site_occupancy
Ti1 0.669 0.034 0.337 1
Ti2 0.500 0.381 0.000 1
Ti3 0.331 0.697 0.663 1
O1 0.000 0.054 0.000 1
```

- Calculated density: 4.8 g/cm3
- Crystal system: orthorhombic
- Raw total energy: -8.156 eV per atom